No. 1
A plane-wave DFT calculation with PBE-GGA was carried out for a relaxed structure of TbPrNd4Sm2.

```
data_TbPrNd4Sm2
_space_group_name_H-M_alt 'P 1'
_space_group_IT_number 1
_space_group_name_Hall 'P 1'
_cell_length_a 6.325
_cell_length_b 3.666
_cell_length_c 12.135
_cell_angle_alpha 90.00
_cell_angle_beta 100.29
_cell_angle_gamma 90.00
loop_
_atom_site_label
_atom_site_type_symbol
_atom_site_fract_x
_atom_site_fract_y
_atom_site_fract_z
_atom_site_occupancy
Tb1 Tb 0.000 0.000 0.000 1
Pr1 Pr 0.000 0.500 0.500 1
Nd1 Nd 0.249 0.500 0.248 1
Nd2 Nd 0.251 0.000 0.752 1
Nd3 Nd 0.749 0.000 0.248 1
Nd4 Nd 0.751 0.500 0.752 1
Sm1 Sm 0.500 0.000 0.500 1
Sm2 Sm 0.500 0.500 0.000 1
```

Output
The value obtained for the total energy is -37.80 eV for the cell shown. The symmetry is P2/m, No. 10.

---

No. 2
A plane-wave DFT calculation with PBE-GGA was carried out for a relaxed structure of GdCu2Si.

```
data_GdCu2Si
_space_group_name_H-M_alt 'P 1'
_space_group_IT_number 1
_space_group_name_Hall 'P 1'
_cell_length_a 5.385
_cell_length_b 5.385
_cell_length_c 5.385
_cell_angle_alpha 44.42
_cell_angle_beta 44.42
_cell_angle_gamma 44.42
loop_
_atom_site_label
_atom_site_type_symbol
_atom_site_fract_x
_atom_site_fract_y
_atom_site_fract_z
_atom_site_occupancy
Gd1 Gd 0.000 0.000 0.000 1
Cu1 Cu 0.204 0.204 0.204 1
Cu2 Cu 0.796 0.796 0.796 1
Si1 Si 0.500 0.500 0.500 1
```

Output
The value obtained for the total energy is -29.19 eV for the cell shown. As for the uncorrected formation energy: -0.3739 eV/atom. The symmetry is R-3m, No. 166.

---

No. 3
A plane-wave DFT calculation with PBE-GGA was carried out for a relaxed structure of Nd3AgRu.

```
data_Nd3AgRu
_space_group_name_H-M_alt 'P 1'
_space_group_IT_number 1
_space_group_name_Hall 'P 1'
_cell_length_a 8.545
_cell_length_b 8.545
_cell_length_c 5.861
_cell_angle_alpha 100.37
_cell_angle_beta 100.37
_cell_angle_gamma 134.36
loop_
_atom_site_label
_atom_site_type_symbol
_atom_site_fract_x
_atom_site_fract_y
_atom_site_fract_z
_atom_site_occupancy
Nd1 Nd 0.191 0.809 0.000 1
Nd2 Nd 0.198 0.419 0.636 1
Nd3 Nd 0.419 0.198 0.636 1
Nd4 Nd 0.581 0.802 0.364 1
Nd5 Nd 0.802 0.581 0.364 1
Nd6 Nd 0.809 0.191 0.000 1
Ag1 Ag 0.231 0.231 0.082 1
Ag2 Ag 0.769 0.769 0.918 1
Ru1 Ru 0.249 0.751 0.500 1
Ru2 Ru 0.751 0.249 0.500 1
```

Output
The value obtained for the total energy is -55.12 eV for the cell shown. The offset from the most stable computed form is 0 meV per atom. The symmetry is C2/m, No. 12.

---

No. 4
A plane-wave DFT calculation with PBE-GGA was carried out for a relaxed structure of LiSiSe2Br.

```
data_LiSiSe2Br
_space_group_name_H-M_alt 'P 1'
_space_group_IT_number 1
_space_group_name_Hall 'P 1'
_cell_length_a 4.582
_cell_length_b 4.582
_cell_length_c 5.320
_cell_angle_alpha 90.00
_cell_angle_beta 90.00
_cell_angle_gamma 90.00
loop_
_atom_site_label
_atom_site_type_symbol
_atom_site_fract_x
_atom_site_fract_y
_atom_site_fract_z
_atom_site_occupancy
Li1 Li 0.000 0.000 0.000 1
Si1 Si 0.500 0.500 0.500 1
Se1 Se 0.000 0.500 0.000 1
Se2 Se 0.500 0.000 0.000 1
Br1 Br 0.000 0.000 0.500 1
```

Output
The value obtained for the total energy is -14.43 eV for the cell shown. As for the uncorrected formation energy: 0.3096 eV/atom. The offset from the most stable computed form is 536 meV per atom. The symmetry is P4/mmm, No. 123.

---

No. 5
A plane-wave DFT calculation with PBE-GGA was carried out for a relaxed structure of K2AuCSe.

```
data_K2AuCSe
_space_group_name_H-M_alt 'P 1'
_space_group_IT_number 1
_space_group_name_Hall 'P 1'
_cell_length_a 6.373
_cell_length_b 6.373
_cell_length_c 3.822
_cell_angle_alpha 90.00
_cell_angle_beta 90.00
_cell_angle_gamma 90.00
loop_
_atom_site_label
_atom_site_type_symbol
_atom_site_fract_x
_atom_site_fract_y
_atom_site_fract_z
_atom_site_occupancy
K1 K 0.000 0.500 0.000 1
K2 K 0.500 0.000 0.000 1
Au1 Au 0.000 0.000 0.000 1
C1 C 0.000 0.000 0.500 1
Se1 Se 0.500 0.500 0.500 1
```

Output
The value obtained for the total energy is -17.17 eV for the cell shown. As for the uncorrected formation energy: 0.2014 eV/atom. The symmetry is P4/mmm, No. 123.

---

No. 6
A plane-wave DFT calculation with PBE-GGA was carried out for a relaxed structure of MnPSeSN.

```
data_MnPSeSN
_space_group_name_H-M_alt 'P 1'
_space_group_IT_number 1
_space_group_name_Hall 'P 1'
_cell_length_a 2.852
_cell_length_b 6.106
_cell_length_c 6.574
_cell_angle_alpha 70.15
_cell_angle_beta 77.50
_cell_angle_gamma 87.83
loop_
_atom_site_label
_atom_site_type_symbol
_atom_site_fract_x
_atom_site_fract_y
_atom_site_fract_z
_atom_site_occupancy
Mn1 Mn 0.000 0.000 0.000 1
P1 P 0.721 0.055 0.548 1
Se1 Se 0.834 0.755 0.372 1
S1 S 0.478 0.242 0.004 1
N1 N 0.144 0.973 0.716 1
```

Output
The value obtained for the total energy is -30.47 eV for the cell shown. As for the uncorrected formation energy: 0.0103 eV/atom. The offset from the most stable computed form is 130 meV per atom. The symmetry is P1, No. 1.

---

No. 7
A plane-wave DFT calculation with PBE-GGA was carried out for a relaxed structure of Ba2SrZnIr.

```
data_Ba2SrZnIr
_space_group_name_H-M_alt 'P 1'
_space_group_IT_number 1
_space_group_name_Hall 'P 1'
_cell_length_a 6.130
_cell_length_b 6.130
_cell_length_c 5.080
_cell_angle_alpha 90.00
_cell_angle_beta 90.00
_cell_angle_gamma 90.00
loop_
_atom_site_label
_atom_site_type_symbol
_atom_site_fract_x
_atom_site_fract_y
_atom_site_fract_z
_atom_site_occupancy
Ba1 Ba 0.000 0.500 0.000 1
Ba2 Ba 0.500 0.000 0.000 1
Sr1 Sr 0.000 0.000 0.500 1
Zn1 Zn 0.500 0.500 0.500 1
Ir1 Ir 0.500 0.500 0.000 1
```

Output
The value obtained for the total energy is -15.52 eV for the cell shown. The offset from the most stable computed form is 46 meV per atom. The symmetry is P4/mmm, No. 123.

---

No. 8
A plane-wave DFT calculation with PBE-GGA was carried out for a relaxed structure of LiHoC2O6.

```
data_LiHoC2O6
_space_group_name_H-M_alt 'P 1'
_space_group_IT_number 1
_space_group_name_Hall 'P 1'
_cell_length_a 6.091
_cell_length_b 6.091
_cell_length_c 6.993
_cell_angle_alpha 97.05
_cell_angle_beta 97.05
_cell_angle_gamma 110.45
loop_
_atom_site_label
_atom_site_type_symbol
_atom_site_fract_x
_atom_site_fract_y
_atom_site_fract_z
_atom_site_occupancy
Li1 Li 0.085 0.915 0.750 1
Li2 Li 0.915 0.085 0.250 1
Ho1 Ho 0.424 0.576 0.250 1
Ho2 Ho 0.576 0.424 0.750 1
C1 C 0.122 0.426 0.773 1
C2 C 0.426 0.122 0.273 1
C3 C 0.574 0.878 0.727 1
C4 C 0.878 0.574 0.227 1
O1 O 0.034 0.479 0.253 1
O2 O 0.124 0.243 0.660 1
O3 O 0.243 0.124 0.160 1
O4 O 0.305 0.529 0.919 1
O5 O 0.471 0.695 0.581 1
O6 O 0.479 0.034 0.753 1
O7 O 0.521 0.966 0.247 1
O8 O 0.529 0.305 0.419 1
O9 O 0.695 0.471 0.081 1
O10 O 0.757 0.876 0.840 1
O11 O 0.876 0.757 0.340 1
O12 O 0.966 0.521 0.747 1
```

Output
The value obtained for the total energy is -151.60 eV for the cell shown. As for the uncorrected formation energy: -2.1113 eV/atom. The symmetry is C2/c, No. 15.

---

No. 9
A plane-wave DFT calculation with PBE-GGA was carried out for a relaxed structure of Ag3PF8.

```
data_Ag3PF8
_space_group_name_H-M_alt 'P 1'
_space_group_IT_number 1
_space_group_name_Hall 'P 1'
_cell_length_a 5.798
_cell_length_b 5.798
_cell_length_c 7.875
_cell_angle_alpha 90.00
_cell_angle_beta 90.00
_cell_angle_gamma 118.99
loop_
_atom_site_label
_atom_site_type_symbol
_atom_site_fract_x
_atom_site_fract_y
_atom_site_fract_z
_atom_site_occupancy
Ag1 Ag 0.000 0.000 0.000 1
Ag2 Ag 0.000 0.500 0.779 1
Ag3 Ag 0.500 0.000 0.221 1
P1 P 0.000 0.000 0.500 1
F1 F 0.165 0.835 0.500 1
F2 F 0.196 0.198 0.647 1
F3 F 0.198 0.196 0.353 1
F4 F 0.213 0.787 0.000 1
F5 F 0.787 0.213 0.000 1
F6 F 0.802 0.804 0.353 1
F7 F 0.804 0.802 0.647 1
F8 F 0.835 0.165 0.500 1
```

Output
The value obtained for the total energy is -50.01 eV for the cell shown. As for the uncorrected formation energy: -1.7567 eV/atom. The symmetry is C222, No. 21.

---

No. 10
A plane-wave DFT calculation with PBE-GGA was carried out for a relaxed structure of ZrSiAg2.

```
data_ZrSiAg2
_space_group_name_H-M_alt 'P 1'
_space_group_IT_number 1
_space_group_name_Hall 'P 1'
_cell_length_a 10.860
_cell_length_b 10.860
_cell_length_c 10.860
_cell_angle_alpha 159.56
_cell_angle_beta 159.56
_cell_angle_gamma 29.06
loop_
_atom_site_label
_atom_site_type_symbol
_atom_site_fract_x
_atom_site_fract_y
_atom_site_fract_z
_atom_site_occupancy
Zr1 Zr 0.000 0.000 0.000 1
Zr2 Zr 0.750 0.250 0.500 1
Si1 Si 0.250 0.750 0.500 1
Si2 Si 0.500 0.500 0.000 1
Ag1 Ag 0.132 0.625 0.007 1
Ag2 Ag 0.375 0.382 0.507 1
Ag3 Ag 0.618 0.125 0.993 1
Ag4 Ag 0.875 0.868 0.493 1
```

Output
The value obtained for the total energy is -39.46 eV for the cell shown. As for the uncorrected formation energy: -0.0143 eV/atom. The symmetry is I-42d, No. 122.

---

No. 11
A plane-wave DFT calculation with PBE-GGA was carried out for a relaxed structure of Rb2Sn4PtAu3.

```
data_Rb2Sn4PtAu3
_space_group_name_H-M_alt 'P 1'
_space_group_IT_number 1
_space_group_name_Hall 'P 1'
_cell_length_a 4.924
_cell_length_b 4.924
_cell_length_c 11.207
_cell_angle_alpha 90.00
_cell_angle_beta 90.00
_cell_angle_gamma 90.00
loop_
_atom_site_label
_atom_site_type_symbol
_atom_site_fract_x
_atom_site_fract_y
_atom_site_fract_z
_atom_site_occupancy
Rb1 Rb 0.000 0.500 0.243 1
Rb2 Rb 0.500 0.000 0.757 1
Sn1 Sn 0.000 0.000 0.500 1
Sn2 Sn 0.000 0.500 0.889 1
Sn3 Sn 0.500 0.000 0.111 1
Sn4 Sn 0.500 0.500 0.500 1
Pt1 Pt 0.500 0.500 0.000 1
Au1 Au 0.000 0.000 0.000 1
Au2 Au 0.000 0.500 0.631 1
Au3 Au 0.500 0.000 0.369 1
```

Output
The value obtained for the total energy is -36.91 eV for the cell shown. The symmetry is P-4m2, No. 115.

---

No. 12
A plane-wave DFT calculation with PBE-GGA was carried out for a relaxed structure of RbLa6S8.

```
data_RbLa6S8
_space_group_name_H-M_alt 'P 1'
_space_group_IT_number 1
_space_group_name_Hall 'P 1'
_cell_length_a 11.273
_cell_length_b 11.273
_cell_length_c 4.230
_cell_angle_alpha 90.00
_cell_angle_beta 90.00
_cell_angle_gamma 120.00
loop_
_atom_site_label
_atom_site_type_symbol
_atom_site_fract_x
_atom_site_fract_y
_atom_site_fract_z
_atom_site_occupancy
Rb1 Rb 0.000 0.000 0.000 1
La1 La 0.141 0.666 0.252 1
La2 La 0.334 0.475 0.252 1
La3 La 0.475 0.141 0.748 1
La4 La 0.525 0.859 0.252 1
La5 La 0.666 0.525 0.748 1
La6 La 0.859 0.334 0.748 1
S1 S 0.044 0.363 0.247 1
S2 S 0.319 0.956 0.247 1
S3 S 0.333 0.667 0.752 1
S4 S 0.363 0.319 0.753 1
S5 S 0.637 0.681 0.247 1
S6 S 0.667 0.333 0.248 1
S7 S 0.681 0.044 0.753 1
S8 S 0.956 0.637 0.753 1
```

Output
The value obtained for the total energy is -92.61 eV for the cell shown. As for the uncorrected formation energy: -1.9372 eV/atom. The symmetry is P-3, No. 147.

---

Question: Which formula does entry 1 have?
Answer: TbPrNd4Sm2